Record 1
First-principles (GGA-PBE) data for Sr2Hg8Au after structural relaxation, as listed in Alexandria.

a b c (Å): 4.953 4.953 12.569
angles (deg): 90.00 90.00 90.00
Atoms (fractional coordinates):
Hg: 0.500 0.000 0.873
Hg: 0.500 0.000 0.127
Hg: 0.000 0.500 0.500
Hg: 0.000 0.500 0.127
Hg: 0.500 0.500 0.685
Hg: 0.000 0.500 0.873
Hg: 0.500 0.000 0.500
Hg: 0.500 0.500 0.315
Sr: 0.000 0.000 0.304
Sr: 0.000 0.000 0.696
Au: 0.000 0.000 0.000

* electronic total energy: -1.138 eV per atom

---

Record 2
First-principles (GGA-PBE) data for Sr2Hg5Au after structural relaxation, as listed in Alexandria.

a b c (Å): 4.605 9.722 10.451
angles (deg): 90.00 90.00 103.70
Atoms (fractional coordinates):
Sr: 0.000 0.000 0.000
Sr: 0.187 0.373 0.250
Sr: 0.813 0.627 0.750
Sr: 0.000 0.000 0.500
Hg: 0.596 0.192 0.750
Hg: 0.201 0.403 0.893
Hg: 0.637 0.274 0.474
Hg: 0.799 0.597 0.393
Hg: 0.363 0.726 0.526
Hg: 0.637 0.274 0.026
Hg: 0.404 0.808 0.250
Hg: 0.363 0.726 0.974
Hg: 0.799 0.597 0.107
Hg: 0.201 0.403 0.607
Au: 0.553 0.105 0.250
Au: 0.447 0.895 0.750

* electronic total energy: -1.431 eV per atom
* energy above the lowest structure with this stoichiometry: 0.0 meV per atom

---

Record 3
First-principles (GGA-PBE) data for SrHgAu after structural relaxation, as listed in Alexandria.

a b c (Å): 5.071 5.071 5.071
angles (deg): 60.00 60.00 60.00
Atoms (fractional coordinates):
Hg: 0.000 0.000 0.000
Au: 0.750 0.750 0.750
Sr: 0.500 0.500 0.500

* electronic total energy: -2.295 eV per atom

---

Record 4
First-principles (GGA-PBE) data for Sr2HgAu after structural relaxation, as listed in Alexandria.

a b c (Å): 4.846 6.416 8.838
angles (deg): 110.44 90.00 90.00
Atoms (fractional coordinates):
Au: 0.750 0.656 0.791
Au: 0.250 0.344 0.209
Sr: 0.250 0.772 0.576
Sr: 0.750 0.228 0.424
Sr: 0.250 0.785 0.064
Sr: 0.750 0.215 0.936
Hg: 0.250 0.335 0.711
Hg: 0.750 0.665 0.289

* electronic total energy: -2.372 eV per atom

---

Record 5
First-principles (GGA-PBE) data for SrHgAu2 after structural relaxation, as listed in Alexandria.

a b c (Å): 6.173 6.174 7.379
angles (deg): 90.00 90.00 134.87
Atoms (fractional coordinates):
Au: 0.883 0.617 0.558
Au: 0.117 0.383 0.058
Au: 0.117 0.383 0.442
Au: 0.883 0.617 0.942
Hg: 0.283 0.217 0.750
Hg: 0.717 0.783 0.250
Sr: 0.420 0.081 0.250
Sr: 0.580 0.919 0.750

* electronic total energy: -2.681 eV per atom

---

Record 6
First-principles (GGA-PBE) data for SrHgAu after structural relaxation, as listed in Alexandria.

a b c (Å): 4.943 4.943 3.949
angles (deg): 90.00 90.00 120.00
Atoms (fractional coordinates):
Sr: 0.333 0.667 0.667
Au: 0.000 0.000 0.165
Hg: 0.667 0.333 0.168

* electronic total energy: -2.360 eV per atom

---

Record 7
First-principles (GGA-PBE) data for Sr3HgAu3 after structural relaxation, as listed in Alexandria.

a b c (Å): 4.517 6.392 15.343
angles (deg): 83.76 81.53 69.31
Atoms (fractional coordinates):
Sr: 0.735 0.757 0.773
Sr: 0.393 0.290 0.924
Sr: 0.524 0.336 0.617
Sr: 0.476 0.664 0.383
Sr: 0.607 0.710 0.076
Sr: 0.265 0.243 0.227
Hg: 0.231 0.927 0.612
Hg: 0.769 0.073 0.388
Au: 0.123 0.296 0.457
Au: 0.985 0.803 0.227
Au: 0.015 0.197 0.773
Au: 0.890 0.144 0.076
Au: 0.877 0.704 0.543
Au: 0.110 0.856 0.924

* electronic total energy: -2.864 eV per atom
* energy above the lowest structure with this stoichiometry: 0.0 meV per atom

---

Record 8
First-principles (GGA-PBE) data for Sr3Hg4Au2 after structural relaxation, as listed in Alexandria.

a b c (Å): 6.441 4.940 10.777
angles (deg): 62.57 59.02 66.98
Atoms (fractional coordinates):
Sr: 0.350 0.977 0.348
Sr: 0.650 0.023 0.652
Sr: 0.000 0.000 0.000
Hg: 0.447 0.340 0.937
Hg: 0.553 0.660 0.063
Hg: 0.078 0.333 0.628
Hg: 0.922 0.667 0.372
Au: 0.794 0.333 0.271
Au: 0.206 0.667 0.729

* electronic total energy: -1.988 eV per atom

---

Calculated formation energy from the elements in order - -315; -413; -542; -636; -547; -606; -695; -565 meV/atom